[1]
VASP calculation (GGA-PBE) on K2NbZn2O6 after structural relaxation.

Uncorrected formation energy = -18.2 eV per formula unit

a = 5.3918 Å, b = 5.3918 Å, c = 6.3095 Å
α = 90.00°, β = 90.00°, γ = 120.00°
Element x y z (fractional)
O 0.6815 0.0000 0.1741
O 0.3185 0.0000 0.8259
O 0.6815 0.6815 0.8259
Zn 0.3333 0.6667 0.0000
O 0.3185 0.3185 0.1741
K 0.6667 0.3333 0.5000
O 0.0000 0.6815 0.1741
Nb 0.0000 0.0000 0.0000
K 0.3333 0.6667 0.5000
Zn 0.6667 0.3333 0.0000
O 0.0000 0.3185 0.8259

[2]
VASP calculation (GGA-PBE) on Na2YGaF8 after structural relaxation.

Uncorrected formation energy = -37.9 eV per formula unit

a = 5.0278 Å, b = 5.1606 Å, c = 6.7152 Å
α = 90.00°, β = 90.00°, γ = 91.65°
Element x y z (fractional)
F 0.8215 0.1774 0.2243
F 0.1785 0.8226 0.2243
F 0.8215 0.1774 0.7757
F 0.7353 0.7414 0.0000
F 0.6955 0.7038 0.5000
Na 0.5000 0.5000 0.7646
F 0.2647 0.2586 0.0000
F 0.3045 0.2962 0.5000
Y 0.0000 0.0000 0.5000
Na 0.5000 0.5000 0.2354
Ga 0.0000 0.0000 0.0000
F 0.1785 0.8226 0.7757

[3]
VASP calculation (GGA-PBE) on VTcNi4 after structural relaxation.

Energy relative to the elements = -0.111 eV per atom
Energy relative to the lowest polymorph listed for this composition = 0 meV/atom

a = 4.0728 Å, b = 6.3971 Å, c = 7.4517 Å
α = 104.85°, β = 90.00°, γ = 129.55°
Element x y z (fractional)
Ni 0.2917 0.5417 0.5835
Ni 0.0425 0.7925 0.0831
V 0.3717 0.6219 0.2436
V 0.6283 0.3781 0.7564
Ni 0.7920 0.0421 0.5834
Ni 0.7083 0.4583 0.4165
Ni 0.5406 0.2907 0.0829
Ni 0.2080 0.9579 0.4166
Tc 0.1228 0.8727 0.7455
Tc 0.8772 0.1273 0.2545
Ni 0.9575 0.2075 0.9169
Ni 0.4594 0.7093 0.9171

[4]
VASP calculation (GGA-PBE) on K2FeSb2 after structural relaxation.

Uncorrected formation energy = 0.0 eV per formula unit

a = 6.8203 Å, b = 6.8203 Å, c = 5.9271 Å
α = 90.00°, β = 90.00°, γ = 90.00°
Element x y z (fractional)
Sb 0.1555 0.3445 0.0000
Sb 0.8445 0.6555 0.0000
K 0.6712 0.8288 0.5000
K 0.3288 0.1712 0.5000
Sb 0.6555 0.1555 0.0000
Fe 0.5000 0.5000 0.0000
Fe 0.0000 0.0000 0.0000
K 0.1712 0.6712 0.5000
K 0.8288 0.3288 0.5000
Sb 0.3445 0.8445 0.0000

| no. | VASP energy (eV per atom) | DOS(E_F) (states/eV per atom) |
| --- | --- | --- |
| 1 | -5.709 | 0.673 |
| 2 | -5.417 | 0.000 |
| 3 | -7.212 | 1.339 |
| 4 | -3.784 | 0.091 |